A plane-wave DFT calculation with GGA-PBE was carried out for a geometry-optimized SbOsRu structure.

```
data_SbOsRu
_chemical_formula_sum 'Sb4 Os4 Ru4'
_space_group_name_H-M_alt 'F -4 3 m'
_space_group_IT_number 216
_space_group_name_Hall 'F -4 2 3'
_cell_length_a 6.113
_cell_length_b 6.113
_cell_length_c 6.113
_cell_angle_alpha 90.00
_cell_angle_beta 90.00
_cell_angle_gamma 90.00
loop_
_atom_site_label
_atom_site_type_symbol
_atom_site_fract_x
_atom_site_fract_y
_atom_site_fract_z
Sb1 Sb 0.000 0.000 0.000
Os1 Os 0.250 0.250 0.250
Ru1 Ru 0.000 0.000 0.500
```

Output
energy relative to the lowest polymorph listed for this composition: 0.000 eV per atom
formation energy without anion corrections: 393 meV per atom
density of states at the Fermi level: 1.435 states/eV per atom